one) A relaxed MnRe2Au crystal, computed with GGA-PBEsol.

Geometry as POSCAR:
```
MnRe2Au
1.0
2.692 0.000 0.000
0.000 2.692 0.000
0.000 0.000 7.748
Mn Re Au
1 2 1
Direct
0.000 0.000 0.000
0.500 0.500 0.219
0.500 0.500 0.781
0.000 0.000 0.500
```

two) A relaxed MnRe2Au crystal, computed with GGA-PBEsol.

Geometry as POSCAR:
```
MnRe2Au
1.0
0.000 3.067 3.067
3.067 0.000 3.067
3.067 3.067 0.000
Mn Re Au
1 2 1
Direct
0.000 0.000 0.000
0.250 0.250 0.250
0.750 0.750 0.750
0.500 0.500 0.500
```

Ranked by calculated energy, most stable first: one), two).

one) A relaxed MnRuAu2 crystal, computed with GGA-PBEsol.

Geometry as POSCAR:
```
MnRuAu2
1.0
1.397 0.807 8.886
-1.397 0.807 8.886
0.000 -1.613 8.886
Mn Ru Au
1 1 2
Direct
0.000 0.000 0.000
0.737 0.737 0.737
0.251 0.251 0.251
0.492 0.492 0.492
```

two) A relaxed MnRuAu2 crystal, computed with GGA-PBEsol.

Geometry as POSCAR:
```
MnRuAu2
1.0
-1.970 1.970 3.850
1.970 -1.970 3.850
1.970 1.970 -3.850
Mn Ru Au
1 1 2
Direct
0.000 0.000 0.000
0.750 0.250 0.500
0.250 0.750 0.500
0.500 0.500 0.000
```

Ranked by calculated energy, most stable first: one), two).

one) A relaxed MnTc2Au crystal, computed with GGA-PBEsol.

Geometry as POSCAR:
```
MnTc2Au
1.0
0.000 3.075 3.075
3.075 0.000 3.075
3.075 3.075 0.000
Mn Tc Au
1 2 1
Direct
0.000 0.000 0.000
0.250 0.250 0.250
0.500 0.500 0.500
0.750 0.750 0.750
```

two) A relaxed MnTc2Au crystal, computed with GGA-PBEsol.

Geometry as POSCAR:
```
MnTc2Au
1.0
-1.455 2.141 4.593
1.455 -2.141 4.593
1.455 2.141 -4.593
Mn Tc Au
1 2 1
Direct
0.000 0.000 0.000
0.218 0.718 0.500
0.782 0.282 0.500
0.500 0.500 0.000
```

Ranked by calculated energy, most stable first: two), one).